1.
Below is a relaxed Cu2PRh crystal, with properties calculated at the PBE level. Values from VASP.

```
&SYSTEM
  ibrav = 0, nat = 4, ntyp = 3
/
ATOMIC_SPECIES
Cu 63.55 Cu.upf
P 30.97 P.upf
Rh 102.91 Rh.upf
ATOMIC_POSITIONS angstrom
Cu -0.041 0.233 2.609
P -1.636 -2.268 2.739
Cu -0.017 -0.024 0.029
Rh 0.434 -2.196 1.692
CELL_PARAMETERS angstrom
-2.370 -0.199 4.091
-0.946 -4.400 1.463
3.716 2.644 -1.263
```

Calculated values
- SG: No. 44
- ΔE_f: -39 kJ/mol of formula units
- D(E_F): 1.98 states/eV per cell
- Energy: -21.362 eV/cell
- V: 12.95 A^3/atom

2.
Below is a relaxed CuP2Rh crystal, with properties calculated at the PBE level. Values from VASP.

```
&SYSTEM
  ibrav = 0, nat = 4, ntyp = 3
/
ATOMIC_SPECIES
Cu 63.55 Cu.upf
P 30.97 P.upf
Rh 102.91 Rh.upf
ATOMIC_POSITIONS angstrom
Cu 1.112 1.461 1.855
P 0.000 0.000 0.000
Rh -0.824 -1.159 2.188
P 1.755 -1.066 1.812
CELL_PARAMETERS angstrom
-0.182 -3.686 2.145
3.691 1.553 1.478
-1.467 1.369 2.232
```

Calculated values
- SG: No. 65
- ΔE_f: 27 kJ/mol of formula units
- D(E_F): 2.59 states/eV per cell
- Energy: -21.989 eV/cell
- Relative energy among the computed polymorphs: 0.232 eV/atom
- V: 13.46 A^3/atom

Among the records above, which one has the lowest energy?
CuP2Rh

Number 2 is which compound?
CuP2Rh